No. 1
Here is crystalline Ce2I5F at its relaxed geometry from Alexandria via LeMat-Bulk. Energies are from GGA-PBE.

Properties
Magnetization, μB per formula unit: 2.00
Density, g/cm3: 4.7
Electronic total energy, eV for the cell shown: -67.92
Space-group type: Cmcm
Uncorrected formation energy, eV/f.u.: -12.47

Unit cell a=8.164 b=8.164 c=21.708 alpha=90.00 beta=90.00 gamma=152.68
Fractional positions:
Ce  0.246  0.754  0.665
Ce  0.246  0.754  0.835
Ce  0.754  0.246  0.165
Ce  0.754  0.246  0.335
I  0.109  0.891  0.121
I  0.109  0.891  0.379
I  0.346  0.654  0.073
I  0.346  0.654  0.427
I  0.397  0.603  0.250
I  0.603  0.397  0.750
I  0.654  0.346  0.573
I  0.654  0.346  0.927
I  0.891  0.109  0.621
I  0.891  0.109  0.879
F  0.213  0.787  0.250
F  0.787  0.213  0.750

No. 2
Here is crystalline Ca3As2Rh2 at its relaxed geometry from Alexandria via LeMat-Bulk. Energies are from GGA-PBE.

Properties
Magnetization, μB per formula unit: 0.00
Density, g/cm3: 5.3
Electronic total energy, eV for the cell shown: -146.16
Energy of formation, eV/atom: -0.93
Space-group type: Pbcm

Unit cell a=5.604 b=8.060 c=13.301 alpha=90.00 beta=90.00 gamma=90.00
Fractional positions:
Ca  0.134  0.250  0.250
Ca  0.134  0.250  0.750
Ca  0.364  0.612  0.104
Ca  0.364  0.612  0.396
Ca  0.364  0.888  0.604
Ca  0.364  0.888  0.896
Ca  0.636  0.112  0.104
Ca  0.636  0.112  0.396
Ca  0.636  0.388  0.604
Ca  0.636  0.388  0.896
Ca  0.866  0.750  0.250
Ca  0.866  0.750  0.750
As  0.107  0.250  0.000
As  0.107  0.250  0.500
As  0.355  0.600  0.750
As  0.355  0.900  0.250
As  0.645  0.100  0.750
As  0.645  0.400  0.250
As  0.893  0.750  0.000
As  0.893  0.750  0.500
Rh  0.133  0.526  0.587
Rh  0.133  0.526  0.913
Rh  0.133  0.974  0.087
Rh  0.133  0.974  0.413
Rh  0.867  0.026  0.587
Rh  0.867  0.026  0.913
Rh  0.867  0.474  0.087
Rh  0.867  0.474  0.413

No. 3
Here is crystalline BaPmAs2Pd2 at its relaxed geometry from Alexandria via LeMat-Bulk. Energies are from GGA-PBE.

Properties
Magnetization, μB per formula unit: 0.00
Density, g/cm3: 7.4
Electronic total energy, eV for the cell shown: -32.85
Energy of formation, eV/atom: -1.08
Space-group type: P-3m1

Unit cell a=4.380 b=4.380 c=8.688 alpha=90.00 beta=90.00 gamma=120.00
Fractional positions:
Ba  0.000  0.000  0.000
Pm  0.000  0.000  0.500
As  0.333  0.667  0.278
As  0.667  0.333  0.722
Pd  0.333  0.667  0.723
Pd  0.667  0.333  0.277

What is the formula in the third record?
BaPmAs2Pd2

What is the density in the first record?
4.7 g/cm3